Density functional theory data (GGA-PBE) for a relaxed TaHg2O crystal.

Cell and atoms, written as POSCAR:
```
TaHg2O
1.0
-5.021 5.021 1.923
5.021 -5.021 1.923
5.021 5.021 -1.923
Ta Hg O
2 4 2
direct
0.000 0.000 0.000
0.750 0.250 0.500
0.245 0.625 0.120
0.375 0.495 0.620
0.505 0.125 0.880
0.875 0.755 0.380
0.250 0.750 0.500
0.500 0.500 0.000
```

Computed properties:
- Total DFT energy (no corrections): -4.46 eV per atom
- Raw formation energy: -107 meV per atom
- Space group: I-42d (122)



Density functional theory data (GGA-PBE) for a relaxed Ta2HgO6 crystal.

Cell and atoms, written as POSCAR:
```
Ta2HgO6
1.0
5.353 0.000 0.000
-2.677 4.636 0.000
0.000 0.000 4.965
Ta Hg O
2 1 6
direct
0.333 0.667 0.000
0.667 0.333 0.000
0.000 0.000 0.500
0.000 0.372 0.217
0.000 0.628 0.783
0.372 0.000 0.217
0.372 0.372 0.783
0.628 0.000 0.783
0.628 0.628 0.217
```

Computed properties:
- Total DFT energy (no corrections): -8.22 eV per atom
- Raw formation energy: -2244 meV per atom
- Space group: P-31m (162)



Density functional theory data (GGA-PBE) for a relaxed Ta2HgO2 crystal.

Cell and atoms, written as POSCAR:
```
Ta2HgO2
1.0
-2.039 2.039 4.627
2.039 -2.039 4.627
2.039 2.039 -4.627
Ta Hg O
2 1 2
direct
0.250 0.750 0.500
0.750 0.250 0.500
0.000 0.000 0.000
0.320 0.320 0.000
0.680 0.680 0.000
```

Computed properties:
- Total DFT energy (no corrections): -7.68 eV per atom
- ΔE to the lowest computed polymorph: 0 meV per atom
- Raw formation energy: -892 meV per atom
- Space group: I4/mmm (139)



Density functional theory data (GGA-PBE) for a relaxed Ta2Hg2O7 crystal.

Cell and atoms, written as POSCAR:
```
Ta2Hg2O7
1.0
3.359 -5.047 0.000
3.359 5.047 0.000
-0.629 0.000 5.612
Ta Hg O
2 2 7
direct
0.237 0.237 0.107
0.763 0.763 0.893
0.198 0.802 0.500
0.802 0.198 0.500
0.079 0.079 0.807
0.096 0.412 0.288
0.412 0.096 0.288
0.500 0.500 0.000
0.588 0.904 0.712
0.904 0.588 0.712
0.921 0.921 0.193
```

Computed properties:
- Total DFT energy (no corrections): -7.20 eV per atom
- ΔE to the lowest computed polymorph: 100 meV per atom
- Raw formation energy: -1840 meV per atom
- Space group: C2/m (12)



Density functional theory data (GGA-PBE) for a relaxed TaHg2O2 crystal.

Cell and atoms, written as POSCAR:
```
TaHg2O2
1.0
7.270 0.000 0.000
0.000 7.270 0.000
0.000 0.000 3.020
Ta Hg O
2 4 4
direct
0.000 0.000 0.000
0.500 0.500 0.000
0.131 0.369 0.000
0.369 0.869 0.000
0.631 0.131 0.000
0.869 0.631 0.000
0.182 0.682 0.500
0.318 0.182 0.500
0.682 0.818 0.500
0.818 0.318 0.500
```

Computed properties:
- Total DFT energy (no corrections): -3.77 eV per atom
- ΔE to the lowest computed polymorph: 61 meV per atom
- Raw formation energy: 705 meV per atom
- Space group: P4/mbm (127)



Density functional theory data (GGA-PBE) for a relaxed Ta2Hg2O crystal.

Cell and atoms, written as POSCAR:
```
Ta2Hg2O
1.0
5.764 0.000 0.000
0.000 5.764 0.000
0.000 0.000 5.298
Ta Hg O
4 4 2
direct
0.175 0.325 0.000
0.325 0.825 0.000
0.675 0.175 0.000
0.825 0.675 0.000
0.177 0.677 0.500
0.323 0.177 0.500
0.677 0.823 0.500
0.823 0.323 0.500
0.000 0.000 0.000
0.500 0.500 0.000
```

Computed properties:
- Total DFT energy (no corrections): -6.35 eV per atom
- Raw formation energy: -500 meV per atom
- Space group: P4/mbm (127)



Density functional theory data (GGA-PBE) for a relaxed TaHg3O crystal.

Cell and atoms, written as POSCAR:
```
TaHg3O
1.0
5.409 0.000 0.000
0.000 5.409 0.000
0.000 0.000 5.409
Ta Hg O
1 3 1
direct
0.000 0.000 0.000
0.000 0.000 0.500
0.000 0.500 0.000
0.500 0.000 0.000
0.500 0.500 0.500
```

Computed properties:
- Total DFT energy (no corrections): -2.23 eV per atom
- ΔE to the lowest computed polymorph: 377 meV per atom
- Raw formation energy: 1312 meV per atom
- Space group: Pm-3m (221)



Density functional theory data (GGA-PBE) for a relaxed TaHg2O2 crystal.

Cell and atoms, written as POSCAR:
```
TaHg2O2
1.0
-1.680 1.680 7.010
1.680 -1.680 7.010
1.680 1.680 -7.010
Ta Hg O
1 2 2
direct
0.000 0.000 0.000
0.367 0.367 0.000
0.633 0.633 0.000
0.250 0.750 0.500
0.750 0.250 0.500
```

Computed properties:
- Total DFT energy (no corrections): -3.83 eV per atom
- ΔE to the lowest computed polymorph: 0 meV per atom
- Raw formation energy: 643 meV per atom
- Space group: I4/mmm (139)